Computed, not measured: BiAu after structural relaxation at the PBE-GGA level of DFT.

Summary:
The formation energy is 0.005 eV per formula unit.

abc: 6.7769 7.0443 8.5990
angles: 90.00 90.00 90.00
Fractional coordinates of all 16 atoms:
Bi1 0.0939 0.2348 0.0087
Bi2 0.1769 0.7635 0.1143
Bi3 0.3231 0.2365 0.6143
Bi4 0.4061 0.7652 0.5087
Bi5 0.5939 0.2652 0.9913
Bi6 0.6769 0.7365 0.8857
Bi7 0.8231 0.2635 0.3857
Bi8 0.9061 0.7348 0.4913
Au1 0.1031 0.9311 0.7689
Au2 0.2159 0.4309 0.3210
Au3 0.2841 0.5691 0.8210
Au4 0.3969 0.0689 0.2689
Au5 0.6031 0.5689 0.2311
Au6 0.7159 0.0691 0.6790
Au7 0.7841 0.9309 0.1790
Au8 0.8969 0.4311 0.7311


Computed, not measured: InSn2Pt9 after structural relaxation at the PBE-GGA level of DFT.

Summary:
The formation energy is -4.832 eV per formula unit.

abc: 4.0540 4.0540 12.1643
angles: 90.00 90.00 90.00
Fractional coordinates of all 12 atoms:
In1 0.0000 0.0000 0.0000
Sn1 0.0000 0.0000 0.3309
Sn2 0.0000 0.0000 0.6691
Pt1 0.0000 0.5000 0.1668
Pt2 0.0000 0.5000 0.5000
Pt3 0.0000 0.5000 0.8332
Pt4 0.5000 0.0000 0.1668
Pt5 0.5000 0.0000 0.5000
Pt6 0.5000 0.0000 0.8332
Pt7 0.5000 0.5000 0.0000
Pt8 0.5000 0.5000 0.3342
Pt9 0.5000 0.5000 0.6658